[1]
# Mn2Nb2GaCo5

A geometry-optimized Mn2Nb2GaCo5 structure (PBE-GGA, the Alexandria database).

For the calculated formation energy, the calculation gives -0.01 eV per atom. The density of states at the Fermi level is 1.1735 states/eV per atom.

The structure belongs to space group P4/mbm (No. 127); the cell edges are 8.377, 8.377 and 3.641 Å and the angles 90.00°, 90.00° and 90.00°. The asymmetric unit holds Mn at (0.125, 0.375, 0.000), Nb at (0.175, 0.675, 0.000), Ga at (0.000, 0.000, 0.000), Co at (0.000, 0.500, 0.500) and Co at (0.066, 0.207, 0.500).


[2]
# BaZrP2

A geometry-optimized BaZrP2 structure (PBE-GGA, the Alexandria database).

For the calculated formation energy, the calculation gives -0.82 eV per atom. The density of states at the Fermi level is 0.4470 states/eV per atom.

The structure belongs to space group P4mm (No. 99); the cell edges are 3.955, 3.955 and 7.152 Å and the angles 90.00°, 90.00° and 90.00°. The asymmetric unit holds Ba at (0.000, 0.000, 0.000), Zr at (0.500, 0.500, 0.481), P at (0.000, 0.000, 0.531) and P at (0.500, 0.500, 0.150).


[3]
# BiPd2W

A geometry-optimized BiPd2W structure (PBE-GGA, the Alexandria database).

For the calculated formation energy, the calculation gives 0.69 eV per atom. The density of states at the Fermi level is 1.8892 states/eV per atom.

The structure belongs to space group I-42d (No. 122); the cell edges are 4.056, 4.056 and 19.045 Å and the angles 90.00°, 90.00° and 90.00°. The asymmetric unit holds Bi at (0.000, 0.000, 0.000), Pd at (0.230, 0.250, 0.625) and W at (0.000, 0.000, 0.500).